No. 1
Entry from the Alexandria database: a relaxed structure of La3TbTm12 (PBE).

## Properties
DFT formation energy (meV/atom): 38

Lattice parameters (Å, degrees): 5.013 5.013 20.076 90.00 90.00 90.00
Fractional positions:
La  0.000  0.000  0.500
La  0.000  0.000  0.250
La  0.000  0.000  0.750
Tm  0.500  0.000  0.878
Tm  0.500  0.500  0.248
Tm  0.500  0.500  0.000
Tm  0.000  0.500  0.626
Tm  0.500  0.000  0.122
Tm  0.500  0.000  0.374
Tm  0.500  0.500  0.500
Tm  0.000  0.500  0.374
Tm  0.500  0.500  0.752
Tm  0.000  0.500  0.878
Tm  0.500  0.000  0.626
Tm  0.000  0.500  0.122
Tb  0.000  0.000  0.000

=====

No. 2
Entry from the Alexandria database: a relaxed structure of Hg2O2F3 (PBE).

## Properties
Uncorrected formation energy (eV per atom): -0.83

Lattice parameters (Å, degrees): 3.779 5.715 6.158 88.18 70.72 82.18
Site moments in Bohr magnetons follow the coordinates.
Fractional positions:
F  0.500  0.000  0.000  0.00
F  0.719  0.195  0.485  0.00
F  0.281  0.805  0.515  0.00
O  0.129  0.565  0.002  0.43
O  0.871  0.435  0.998  0.43
Hg  0.098  0.131  0.741  -0.01
Hg  0.902  0.869  0.259  -0.01

=====

No. 3
Entry from the Alexandria database: a relaxed structure of Ti2Al2Tl (PBE).

## Properties
Energy above the most stable polymorph in this dataset (eV per atom): 0.0000
DFT formation energy (meV/atom): -21

Lattice parameters (Å, degrees): 7.437 7.437 3.257 90.00 90.00 90.00
Fractional positions:
Al  0.881  0.619  0.000
Al  0.381  0.881  0.000
Al  0.119  0.381  0.000
Al  0.619  0.119  0.000
Ti  0.177  0.677  0.500
Ti  0.823  0.323  0.500
Ti  0.323  0.177  0.500
Ti  0.677  0.823  0.500
Tl  0.500  0.500  0.000
Tl  0.000  0.000  0.000

=====

No. 4
Entry from the Alexandria database: a relaxed structure of YNi2AgH (PBE).

## Properties
Electronic total energy (eV/atom): -4.107

Lattice parameters (Å, degrees): 4.880 3.688 4.880 90.00 90.00 90.00
Fractional positions:
Ni  0.500  0.000  0.000
Ni  0.000  0.000  0.500
H  0.000  0.500  0.000
Y  0.000  0.000  0.000
Ag  0.500  0.500  0.500